Compound: La3HgGe
Source: Alexandria
Functional: PBE-GGA
Structure: relaxed

Structure (POSCAR):
```
La3HgGe
1.0
5.7560 0.0000 0.0000
0.0000 5.7560 0.0000
0.0000 0.0000 5.7560
La Hg Ge
3 1 1
direct
0.0000 0.0000 0.5000
0.0000 0.5000 0.0000
0.5000 0.0000 0.0000
0.5000 0.5000 0.5000
0.0000 0.0000 0.0000
```

Calculated values
Relative energy among the computed polymorphs = 0.3358 eV per atom
Size of the total moment = 1.202 μB/f.u.
N(E_F) = 6.4 states/eV/cell